Entry 1:
First-principles (PBE) data for a geometry-optimized Ba2In2Au structure, as listed in Alexandria via LeMat-Bulk.

Cell lengths 6.386, 6.386, 6.386 Å; angles 115.12, 115.12, 98.68 degrees
Element x y z (fractional)
Ba (0.250, 0.750, 0.500)
Ba (0.750, 0.250, 0.500)
In (0.164, 0.164, 0.000)
In (0.836, 0.836, 0.000)
Au (0.500, 0.500, 0.000)

ΔE_f, eV per atom: -0.214
Magnetization, μB per cell: 0.00
Space-group type: I4/mmm (139)

***

Entry 2:
First-principles (PBE) data for a geometry-optimized Ba3In9Au2 structure, as listed in Alexandria via LeMat-Bulk.

Cell lengths 9.455, 9.455, 9.455 Å; angles 149.28, 106.79, 81.46 degrees
Element x y z (fractional)
Ba (0.000, 0.000, 0.000)
Ba (0.312, 0.312, 0.000)
Ba (0.688, 0.688, 0.000)
In (0.026, 0.661, 0.365)
In (0.147, 0.867, 0.280)
In (0.295, 0.661, 0.635)
In (0.413, 0.133, 0.280)
In (0.500, 0.000, 0.500)
In (0.587, 0.867, 0.720)
In (0.705, 0.339, 0.365)
In (0.853, 0.133, 0.720)
In (0.974, 0.339, 0.635)
Au (0.290, 0.500, 0.790)
Au (0.710, 0.500, 0.210)

ΔE_f, eV per atom: -0.397
Magnetization, μB per cell: 0.00
Space-group type: Immm (71)

***

Entry 3:
First-principles (PBE) data for a geometry-optimized Ba2InAu9 structure, as listed in Alexandria via LeMat-Bulk.

Cell lengths 10.019, 10.019, 10.019 Å; angles 34.06, 34.06, 34.06 degrees
Element x y z (fractional)
Ba (0.136, 0.136, 0.136)
Ba (0.864, 0.864, 0.864)
In (0.000, 0.000, 0.000)
Au (0.080, 0.582, 0.582)
Au (0.333, 0.333, 0.333)
Au (0.418, 0.418, 0.920)
Au (0.418, 0.920, 0.418)
Au (0.500, 0.500, 0.500)
Au (0.582, 0.080, 0.582)
Au (0.582, 0.582, 0.080)
Au (0.667, 0.667, 0.667)
Au (0.920, 0.418, 0.418)

ΔE_f, eV per atom: -0.293
Magnetization, μB per cell: 0.00
Space-group type: R-3m (166)